1.
Pm2Nd2DyY6 (PBE, optimized geometry); crystal system = orthorhombic; formation energy = 0.137 eV/atom; spin magnetization = 0.0 μB/f.u.; ρ = 5.73 g/cm3
1.0
2.863 -6.075 0.000
2.863 6.075 0.000
0.000 0.000 10.611
Pm Nd Dy Y
2 2 1 6
direct
0.209 0.791 0.000
0.791 0.209 0.000
0.131 0.869 0.500
0.869 0.131 0.500
0.500 0.500 0.000
0.000 0.000 0.202
0.000 0.000 0.798
0.349 0.651 0.297
0.349 0.651 0.703
0.651 0.349 0.297
0.651 0.349 0.703

***

2.
MnAlNi2 (PBE, optimized geometry); crystal system = monoclinic; formation energy = -0.237 eV/atom; spin magnetization = 3.6 μB/f.u.; ρ = 6.80 g/cm3
1.0
4.104 -1.359 0.000
4.104 1.359 0.000
-0.976 0.000 4.365
Mn Al Ni
1 1 2
direct
0.000 0.000 0.000
0.500 0.500 0.500
0.249 0.249 0.752
0.751 0.751 0.248

***

3.
Zr2As2S (PBE, optimized geometry); crystal system = tetragonal; ΔE to the lowest computed polymorph = 461 meV/atom; spin magnetization = 0.0 μB/f.u.; formation energy from raw total energies = -13.76 kcal/mol of atoms; ρ = 6.11 g/cm3
1.0
-1.866 1.866 7.108
1.866 -1.866 7.108
1.866 1.866 -7.108
Zr As S
2 2 1
direct
0.106 0.106 0.000
0.894 0.894 0.000
0.250 0.750 0.500
0.750 0.250 0.500
0.500 0.500 0.000

***

4.
Ba3HPd (PBE, optimized geometry); crystal system = cubic; ΔE to the lowest computed polymorph = 258 meV/atom; spin magnetization = 0.0 μB/f.u.; ρ = 5.15 g/cm3
1.0
5.513 0.000 0.000
0.000 5.513 0.000
0.000 0.000 5.513
Ba H Pd
3 1 1
direct
0.000 0.000 0.500
0.000 0.500 0.000
0.500 0.000 0.000
0.000 0.000 0.000
0.500 0.500 0.500

***

5.
Tm5TlIr2 (PBE, optimized geometry); crystal system = tetragonal; formation energy = -0.690 eV/atom; spin magnetization = 0.0 μB/f.u.; ρ = 12.01 g/cm3
1.0
-3.849 3.849 6.691
3.849 -3.849 6.691
3.849 3.849 -6.691
Tm Tl Ir
10 2 4
direct
0.000 0.000 0.000
0.025 0.525 0.816
0.210 0.025 0.500
0.290 0.790 0.816
0.475 0.290 0.500
0.500 0.500 0.000
0.525 0.710 0.500
0.710 0.210 0.184
0.790 0.975 0.500
0.975 0.475 0.184
0.250 0.250 0.000
0.750 0.750 0.000
0.141 0.359 0.500
0.359 0.859 0.218
0.641 0.141 0.782
0.859 0.641 0.500

***

6.
LaPr4NdDy2 (PBE, optimized geometry); crystal system = monoclinic; formation energy = 0.017 eV/atom; spin magnetization = 0.0 μB/f.u.; ρ = 6.94 g/cm3
1.0
6.340 0.000 0.000
0.000 3.686 0.000
-2.146 0.000 11.993
La Pr Nd Dy
1 4 1 2
direct
0.000 0.000 0.000
0.251 0.000 0.751
0.252 0.500 0.253
0.748 0.500 0.747
0.749 0.000 0.249
0.000 0.500 0.500
0.500 0.000 0.500
0.500 0.500 0.000

***

- Which value of ρ does entry 1 give?
  5.73 g/cm3

***

- Which value of spin magnetization does entry 5 give?
  0.0 μB/f.u.

***

- spin magnetization of number 4 (Ba3HPd)?
  0.0 μB/f.u.